1.
VASP calculation (PBE) on a relaxed structure of ErAlW.

- Polymorph energy (0 for the lowest one): 0 meV/atom
- Crystal system: cubic
- M_tot: 0.14 μB per atom

abc: 6.4139 6.4139 6.4139
angles: 90.00 90.00 90.00
Space group F-43m (No. 216)
Inequivalent atoms, fractional coordinates:
Er  0.0000  0.0000  0.0000 (multiplicity 4)
Al  0.2500  0.2500  0.2500 (multiplicity 4)
W  0.0000  0.0000  0.5000 (multiplicity 4)

=====

2.
VASP calculation (PBE) on a relaxed structure of Y2Er2Al3.

- Crystal system: monoclinic
- M_tot: 0.00 μB per atom
- Uncorrected energy: -4.95 eV per atom

abc: 11.8724 4.9430 6.6358
angles: 90.00 112.98 90.00
Space group C2/m (No. 12)
Inequivalent atoms, fractional coordinates:
Y  0.0410  0.0000  0.2796 (multiplicity 4)
Er  0.1836  0.5000  0.8000 (multiplicity 4)
Al  0.0000  0.5000  0.0000 (multiplicity 2)
Al  0.2178  0.5000  0.3373 (multiplicity 4)

=====

3.
VASP calculation (PBE) on a relaxed structure of YErAl2.

- Crystal system: orthorhombic
- M_tot: 0.01 μB per atom
- Uncorrected energy: -5.03 eV per atom

abc: 4.1276 4.4018 11.0897
angles: 90.00 90.00 90.00
Space group Amm2 (No. 38)
Inequivalent atoms, fractional coordinates:
Y  0.0000  0.0000  0.0000 (multiplicity 2)
Er  0.5000  0.0000  0.7200 (multiplicity 2)
Al  0.0000  0.0000  0.2846 (multiplicity 2)
Al  0.5000  0.0000  0.4341 (multiplicity 2)

=====

4.
VASP calculation (PBE) on a relaxed structure of YErAl.

- Polymorph energy (0 for the lowest one): 0 meV/atom
- Crystal system: orthorhombic
- M_tot: 0.00 μB per atom

abc: 6.5183 5.0744 9.4533
angles: 90.00 90.00 90.00
Space group Pnma (No. 62)
Inequivalent atoms, fractional coordinates:
Y  0.1869  0.2500  0.0726 (multiplicity 4)
Er  0.0290  0.2500  0.7097 (multiplicity 4)
Al  0.2047  0.2500  0.3959 (multiplicity 4)

=====

5.
VASP calculation (PBE) on a relaxed structure of YEr4Al15.

- Crystal system: trigonal
- M_tot: 0.00 μB per atom
- Uncorrected energy: -4.47 eV per atom

abc: 6.0760 6.0760 35.8411
angles: 90.00 90.00 120.00
Space group R-3m (No. 166, hexagonal axes)
Inequivalent atoms, fractional coordinates:
Y  0.0000  0.0000  0.0000 (multiplicity 3)
Er  0.0000  0.0000  0.1313 (multiplicity 6)
Er  0.0000  0.0000  0.3999 (multiplicity 6)
Al  0.0000  0.5000  0.0000 (multiplicity 9)
Al  0.0031  0.5015  0.8662 (multiplicity 18)
Al  0.0325  0.5163  0.3998 (multiplicity 18)

=====

6.
VASP calculation (PBE) on a relaxed structure of YErAl.

- Polymorph energy (0 for the lowest one): 827 meV/atom
- Crystal system: cubic
- M_tot: 0.00 μB per atom

abc: 7.1668 7.1668 7.1668
angles: 90.00 90.00 90.00
Space group F-43m (No. 216)
Inequivalent atoms, fractional coordinates:
Y  0.0000  0.0000  0.0000 (multiplicity 4)
Er  0.2500  0.2500  0.2500 (multiplicity 4)
Al  0.2500  0.2500  0.7500 (multiplicity 4)

=====

7.
VASP calculation (PBE) on a relaxed structure of ErAlZn.

- Crystal system: hexagonal
- M_tot: 0.00 μB per atom
- Uncorrected energy: -3.39 eV per atom

abc: 4.8695 4.8695 5.8998
angles: 90.00 90.00 120.00
Space group P6_3/mmc (No. 194)
Inequivalent atoms, fractional coordinates:
Er  0.3333  0.6667  0.2500 (multiplicity 2)
Al  0.3333  0.6667  0.7500 (multiplicity 2)
Zn  0.0000  0.0000  0.0000 (multiplicity 2)

=====

8.
VASP calculation (PBE) on a relaxed structure of ErAlZn.

- Crystal system: orthorhombic
- M_tot: 0.01 μB per atom
- Uncorrected energy: -3.64 eV per atom

abc: 7.0635 4.4466 7.6532
angles: 90.00 90.00 90.00
Space group Pnma (No. 62)
Inequivalent atoms, fractional coordinates:
Er  0.0034  0.2500  0.2180 (multiplicity 4)
Al  0.2079  0.2500  0.5868 (multiplicity 4)
Zn  0.2044  0.7500  0.4150 (multiplicity 4)

=====

9.
VASP calculation (PBE) on a relaxed structure of Er5AlZn4.

- Crystal system: tetragonal
- M_tot: 0.02 μB per atom
- Uncorrected energy: -3.53 eV per atom

abc: 3.5302 3.5302 17.7594
angles: 90.00 90.00 90.00
Space group P4/mmm (No. 123)
Inequivalent atoms, fractional coordinates:
Er  0.0000  0.0000  0.0000 (multiplicity 1)
Er  0.0000  0.0000  0.1986 (multiplicity 2)
Er  0.0000  0.0000  0.3964 (multiplicity 2)
Al  0.5000  0.5000  0.5000 (multiplicity 1)
Zn  0.5000  0.5000  0.0997 (multiplicity 2)
Zn  0.5000  0.5000  0.2976 (multiplicity 2)

=====

10.
VASP calculation (PBE) on a relaxed structure of ErAlZn.

- Crystal system: orthorhombic
- M_tot: 0.01 μB per atom
- Uncorrected energy: -3.64 eV per atom

abc: 7.0789 4.4519 7.6613
angles: 90.00 90.00 90.00
Space group Pnma (No. 62)
Inequivalent atoms, fractional coordinates:
Er  0.0034  0.2500  0.2187 (multiplicity 4)
Al  0.2090  0.2500  0.5871 (multiplicity 4)
Zn  0.2054  0.7500  0.4156 (multiplicity 4)

=====

11.
VASP calculation (PBE) on a relaxed structure of ErAlZn.

- Crystal system: hexagonal
- M_tot: 0.00 μB per atom
- Uncorrected energy: -3.64 eV per atom

abc: 4.4708 4.4708 3.4840
angles: 90.00 90.00 120.00
Space group P-6m2 (No. 187)
Inequivalent atoms, fractional coordinates:
Er  0.0000  0.0000  0.0000 (multiplicity 1)
Al  0.3333  0.6667  0.5000 (multiplicity 1)
Zn  0.6667  0.3333  0.5000 (multiplicity 1)

=====

12.
VASP calculation (PBE) on a relaxed structure of ErAlZn.

- Crystal system: hexagonal
- M_tot: 0.00 μB per atom
- Uncorrected energy: -3.63 eV per atom

abc: 4.4127 4.4127 7.1570
angles: 90.00 90.00 120.00
Space group P6_3/mmc (No. 194)
Inequivalent atoms, fractional coordinates:
Er  0.0000  0.0000  0.0000 (multiplicity 2)
Al  0.3333  0.6667  0.2500 (multiplicity 2)
Zn  0.3333  0.6667  0.7500 (multiplicity 2)

=====

13.
VASP calculation (PBE) on a relaxed structure of ErAlZn.

- Crystal system: hexagonal
- M_tot: 0.00 μB per atom
- Uncorrected energy: -3.65 eV per atom

abc: 4.4537 4.4537 7.0515
angles: 90.00 90.00 120.00
Space group P6_3mc (No. 186)
Inequivalent atoms, fractional coordinates:
Er  0.0000  0.0000  0.0000 (multiplicity 2)
Al  0.3333  0.6667  0.2252 (multiplicity 2)
Zn  0.3333  0.6667  0.7913 (multiplicity 2)

=====

14.
VASP calculation (PBE) on a relaxed structure of ErZrAl.

- Polymorph energy (0 for the lowest one): 0 meV/atom
- Crystal system: cubic
- M_tot: 0.05 μB per atom

abc: 6.9095 6.9095 6.9095
angles: 90.00 90.00 90.00
Space group F-43m (No. 216)
Inequivalent atoms, fractional coordinates:
Er  0.0000  0.0000  0.0000 (multiplicity 4)
Zr  0.2500  0.2500  0.7500 (multiplicity 4)
Al  0.0000  0.0000  0.5000 (multiplicity 4)

=====

15.
VASP calculation (PBE) on a relaxed structure of PrGdAl2F2.

- Crystal system: trigonal
- M_tot: 0.00 μB per atom
- Uncorrected energy: -5.18 eV per atom

abc: 4.0274 4.0274 8.8394
angles: 90.00 90.00 120.00
Space group P3m1 (No. 156)
Inequivalent atoms, fractional coordinates:
Pr  0.0000  0.0000  0.0000 (multiplicity 1)
Gd  0.0000  0.0000  0.5123 (multiplicity 1)
Al  0.3333  0.6667  0.2983 (multiplicity 1)
Al  0.6667  0.3333  0.2236 (multiplicity 1)
F  0.3333  0.6667  0.8731 (multiplicity 1)
F  0.6667  0.3333  0.6277 (multiplicity 1)

=====

16.
VASP calculation (PBE) on a relaxed structure of K4Nb11Al2O20F.

- Crystal system: tetragonal
- M_tot: 0.00 μB per atom
- Uncorrected energy: -8.27 eV per atom

abc: 8.8266 8.8266 12.6795
angles: 90.00 90.00 90.00
Space group I4/mmm (No. 139)
Inequivalent atoms, fractional coordinates:
K  0.0000  0.3093  0.0000 (multiplicity 8)
Nb  0.0000  0.0000  0.1832 (multiplicity 4)
Nb  0.0000  0.0000  0.5000 (multiplicity 2)
Nb  0.1619  0.1619  0.3373 (multiplicity 16)
Al  0.0000  0.5000  0.2500 (multiplicity 4)
O  0.0000  0.3401  0.3352 (multiplicity 16)
O  0.1655  0.1655  0.1726 (multiplicity 16)
O  0.1706  0.1706  0.5000 (multiplicity 8)
F  0.0000  0.0000  0.0000 (multiplicity 2)

=====

17.
VASP calculation (PBE) on a relaxed structure of NaAlOsO4F.

- Crystal system: monoclinic
- M_tot: 0.13 μB per atom
- Uncorrected energy: -6.50 eV per atom

abc: 6.3451 8.8879 6.9740
angles: 90.00 112.18 90.00
Space group C2/c (No. 15)
Inequivalent atoms, fractional coordinates:
Na  0.0000  0.1785  0.2500 (multiplicity 4)
Al  0.0000  0.5000  0.0000 (multiplicity 4)
Os  0.0000  0.1707  0.7500 (multiplicity 4)
O  0.0971  0.3107  0.6021 (multiplicity 8)
O  0.1915  0.0480  0.9492 (multiplicity 8)
F  0.0000  0.4284  0.2500 (multiplicity 4)

=====

18.
VASP calculation (PBE) on a relaxed structure of NdAlF5.

- Crystal system: monoclinic
- M_tot: 0.03 μB per atom
- Uncorrected energy: -5.92 eV per atom

abc: 8.4171 6.5044 6.9535
angles: 90.00 113.84 90.00
Space group C2/c (No. 15)
Inequivalent atoms, fractional coordinates:
Nd  0.0000  0.0132  0.2500 (multiplicity 4)
Al  0.0000  0.5000  0.0000 (multiplicity 4)
F  0.0000  0.3936  0.2500 (multiplicity 4)
F  0.0958  0.2732  0.9660 (multiplicity 8)
F  0.2097  0.3861  0.6369 (multiplicity 8)

=====

19.
VASP calculation (PBE) on a relaxed structure of PrNd2AlF3.

- Crystal system: tetragonal
- M_tot: 0.00 μB per atom
- Uncorrected energy: -5.32 eV per atom

abc: 5.4425 5.4425 5.4677
angles: 90.00 90.00 90.00
Space group P4/mmm (No. 123)
Inequivalent atoms, fractional coordinates:
Pr  0.0000  0.0000  0.0000 (multiplicity 1)
Nd  0.0000  0.5000  0.5000 (multiplicity 2)
Al  0.0000  0.0000  0.5000 (multiplicity 1)
F  0.0000  0.5000  0.0000 (multiplicity 2)
F  0.5000  0.5000  0.5000 (multiplicity 1)

=====

20.
VASP calculation (PBE) on a relaxed structure of ZrAlO2F.

- Crystal system: tetragonal
- M_tot: 0.00 μB per atom
- Uncorrected energy: -7.28 eV per atom

abc: 3.6190 3.6190 4.7183
angles: 90.00 90.00 90.00
Space group P4mm (No. 99)
Inequivalent atoms, fractional coordinates:
Zr  0.0000  0.0000  0.0000 (multiplicity 1)
Al  0.5000  0.5000  0.5759 (multiplicity 1)
O  0.0000  0.5000  0.7716 (multiplicity 2)
F  0.0000  0.0000  0.4197 (multiplicity 1)